--- P ---
Material: CdCu2Si
Method: DFT, PBE
State: optimized geometry

The structure in extended XYZ format:
```
4
Lattice="-3.4965 2.7881 -1.2681 -3.7040 -2.8022 -0.1877 3.0453 0.5554 3.4677" Properties=species:S:1:pos:R:3 pbc="T T T"
Cd -2.0258 1.6682 0.7359
Cu -7.1988 -0.0141 -1.4554
Cu -3.6021 -0.0070 -0.7283
Si -2.1295 -1.1269 1.2761
```

Results
V = 60 Å³/f.u.


--- Q ---
Material: CdCu2Si
Method: DFT, PBE
State: optimized geometry

The structure in extended XYZ format:
```
4
Lattice="-0.9691 2.5708 0.4728 -0.3987 -0.8492 2.6252 7.0495 2.3223 1.8220" Properties=species:S:1:pos:R:3 pbc="T T T"
Cd 4.6032 2.6025 2.9155
Cu 0.2407 0.0793 0.0622
Cu 3.2840 1.0818 0.8488
Si 1.0785 1.4414 2.0045
```

Results
V = 59 Å³/f.u.


Stability ranking, top and bottom: Q is the most stable and P is the least stable.


--- P ---
Material: Cd2Cu2Si
Method: DFT, PBE
State: optimized geometry

The structure in extended XYZ format:
```
5
Lattice="-0.7986 -1.8756 3.2358 2.1158 -2.9550 -1.1907 5.7727 0.1408 3.7664" Properties=species:S:1:pos:R:3 pbc="T T T"
Si 0.0000 0.0000 0.0000
Cu 1.5914 -1.9490 1.5231
Cu 5.4985 -2.7407 4.2885
Cd 2.8164 -2.0750 4.0124
Cd 4.2735 -2.6147 1.7992
```

Results
V = 93 Å³/f.u.


--- Q ---
Material: Cd2Cu2Si
Method: DFT, PBE
State: optimized geometry

The structure in extended XYZ format:
```
10
Lattice="-6.2181 -0.5994 -4.7021 3.4673 -5.8638 -3.8378 -1.1845 -1.8827 1.8064" Properties=species:S:1:pos:R:3 pbc="T T T"
Si 0.0000 0.0000 0.0000
Si -1.3754 -3.2316 -4.2699
Cu 0.7001 -4.9101 -2.3856
Cu -1.7877 -6.2603 -5.4243
Cu -4.6355 -3.4358 -4.3478
Cu -2.1476 -2.0856 -1.3092
Cd 0.7402 -5.2662 -5.0033
Cd -3.1399 -4.2621 -6.5010
Cd -3.4910 -1.1970 -3.5366
Cd 0.3891 -2.2011 -2.0389
```

Results
V = 88 Å³/f.u.


--- R ---
Material: Cd2Cu2Si
Method: DFT, PBE
State: optimized geometry

The structure in extended XYZ format:
```
10
Lattice="-2.6336 -4.0903 -3.9810 3.4996 -4.6207 2.4324 -3.0567 -0.8116 2.8561" Properties=species:S:1:pos:R:3 pbc="T T T"
Si 0.0000 0.0000 0.0000
Si 0.4330 -4.3555 -0.7743
Cu 2.0559 -5.3890 0.6689
Cu 0.0152 -6.4784 -1.8247
Cu -1.1898 -3.3220 -2.2175
Cu 0.8508 -2.2326 0.2762
Cd 0.3629 -4.1391 2.3913
Cd -0.3474 -6.9850 0.8223
Cd -2.5536 -5.3835 -1.0837
Cd -1.8433 -2.5376 0.4852
```

Results
V = 84 Å³/f.u.


Stability ranking, top and bottom: R is the most stable and P is the least stable.


--- P ---
Material: CdCu3Si
Method: DFT, PBE
State: optimized geometry

The structure in extended XYZ format:
```
5
Lattice="4.7428 0.0000 0.0000 0.0000 4.7428 0.0000 0.0000 0.0000 4.7428" Properties=species:S:1:pos:R:3 pbc="T T T"
Si 2.3714 2.3714 2.3714
Cu 0.0000 2.3714 0.0000
Cu 0.0000 0.0000 2.3714
Cu 2.3714 0.0000 0.0000
Cd 0.0000 0.0000 0.0000
```

Results
V = 107 Å³/f.u.


--- Q ---
Material: CdCu3Si
Method: DFT, PBE
State: optimized geometry

The structure in extended XYZ format:
```
5
Lattice="-1.5070 -2.5800 -3.2843 0.3399 -3.5557 2.6373 -4.1626 0.6437 1.4044" Properties=species:S:1:pos:R:3 pbc="T T T"
Si 0.0000 0.0000 0.0000
Cu 0.1700 -1.7779 1.3186
Cu -2.0813 0.3218 0.7022
Cu -0.7535 -1.2900 -1.6421
Cd -2.6648 -2.7460 0.3787
```

Results
V = 88 Å³/f.u.


Stability ranking, top and bottom: Q is the most stable and P is the least stable.


--- P ---
Material: Cd3CuSi
Method: DFT, PBE
State: optimized geometry

The structure in extended XYZ format:
```
5
Lattice="5.1141 0.0000 0.0000 0.0000 5.1141 0.0000 0.0000 0.0000 5.1141" Properties=species:S:1:pos:R:3 pbc="T T T"
Si 0.0000 0.0000 0.0000
Cu 2.5570 2.5570 2.5570
Cd 0.0000 2.5570 0.0000
Cd 0.0000 0.0000 2.5570
Cd 2.5570 0.0000 0.0000
```

Results
V = 134 Å³/f.u.


--- Q ---
Material: Cd3CuSi
Method: DFT, PBE
State: optimized geometry

The structure in extended XYZ format:
```
5
Lattice="4.9311 0.0000 0.0000 0.0000 4.9311 0.0000 0.0000 0.0000 4.9311" Properties=species:S:1:pos:R:3 pbc="T T T"
Si 2.4655 2.4655 2.4655
Cu 0.0000 0.0000 0.0000
Cd 0.0000 2.4655 0.0000
Cd 0.0000 0.0000 2.4655
Cd 2.4655 0.0000 0.0000
```

Results
V = 120 Å³/f.u.


Stability ranking, top and bottom: Q is the most stable and P is the least stable.


--- P ---
Material: Sm2CdCu
Method: DFT, PBE
State: optimized geometry

The structure in extended XYZ format:
```
4
Lattice="3.6213 0.0000 0.0000 0.0000 3.6213 0.0000 0.0000 0.0000 7.6219" Properties=species:S:1:pos:R:3 pbc="T T T"
Cu 1.8106 1.8106 0.0000
Sm 0.0000 0.0000 5.9057
Sm 0.0000 0.0000 1.7162
Cd 1.8106 1.8106 3.8110
```

Results
V = 100 Å³/f.u.


--- Q ---
Material: Sm2CdCu
Method: DFT, PBE
State: optimized geometry

The structure in extended XYZ format:
```
4
Lattice="3.4706 0.0000 0.0000 1.7353 3.0056 0.0000 1.7353 1.0019 10.9032" Properties=species:S:1:pos:R:3 pbc="T T T"
Cu 3.4706 2.0038 5.4516
Sm 1.7353 1.0019 7.5736
Sm 5.2059 3.0056 3.3296
Cd 0.0000 0.0000 0.0000
```

Results
V = 114 Å³/f.u.


Stability ranking, top and bottom: P is the most stable and Q is the least stable.


--- P ---
Material: SmCd3Cu8
Method: DFT, PBE
State: optimized geometry

The structure in extended XYZ format:
```
12
Lattice="-3.7092 -2.6721 2.3135 4.8318 -0.3513 1.6677 -1.3203 6.2924 5.1509" Properties=species:S:1:pos:R:3 pbc="T T T"
Sm -0.7449 3.5501 2.9061
Cd -1.4190 0.7550 4.2704
Cd -0.9384 -1.5354 2.3954
Cd -1.2590 6.0000 4.9116
Cu 1.3243 2.0230 4.4598
Cu 0.6689 5.1464 7.0166
Cu -2.8372 3.4064 5.0590
Cu -0.4559 3.2332 5.8808
Cu -2.2840 1.9163 7.0210
Cu 0.6675 0.9913 2.2152
Cu 3.0802 0.8159 3.0480
Cu 1.2281 -0.5184 4.2032
```

Results
V = 187 Å³/f.u.


--- Q ---
Material: SmCd3Cu8
Method: DFT, PBE
State: optimized geometry

The structure in extended XYZ format:
```
12
Lattice="4.8567 0.0000 1.4661 2.2071 4.3262 1.4661 -0.0374 -0.0229 8.9013" Properties=species:S:1:pos:R:3 pbc="T T T"
Sm 6.1705 3.7792 5.8912
Cd 2.6090 1.5979 8.9118
Cd -0.0112 -0.0069 8.8144
Cd 3.4648 2.1220 6.0769
Cu 5.5299 1.8967 3.6332
Cu 4.1557 4.0380 8.1606
Cu 3.0968 1.8967 2.8987
Cu 6.5931 4.0380 8.8963
Cu 1.3056 0.7996 4.4523
Cu 4.8253 2.9553 10.3473
Cu 4.2025 4.0640 3.6332
Cu 5.4855 1.8668 8.1606
```

Results
V = 187 Å³/f.u.


Stability ranking, top and bottom: Q is the most stable and P is the least stable.


--- P ---
Material: Cd3CuSn
Method: DFT, PBE
State: optimized geometry

The structure in extended XYZ format:
```
10
Lattice="-6.0055 -3.1644 0.3046 4.7069 -4.6341 -1.5944 2.5329 2.7612 5.6295" Properties=species:S:1:pos:R:3 pbc="T T T"
Cd -3.7517 -2.2924 1.9784
Cd 1.7727 -2.0171 1.1960
Cd -0.5384 -3.0202 3.1437
Cd -1.7483 -3.8692 0.2802
Cd 4.9860 -2.7449 2.3613
Cd 2.9826 -1.1681 4.0595
Cu 0.7698 -4.4345 1.1625
Cu 0.4645 -0.6028 3.1772
Sn -1.9837 -0.4221 4.5493
Sn 3.2180 -4.6152 -0.2096
```

Results
V = 117 Å³/f.u.


--- Q ---
Material: Cd3CuSn
Method: DFT, PBE
State: optimized geometry

The structure in extended XYZ format:
```
5
Lattice="5.0067 0.0000 0.0000 0.0000 5.0067 0.0000 0.0000 0.0000 5.0067" Properties=species:S:1:pos:R:3 pbc="T T T"
Sn 2.5034 2.5034 2.5034
Cu 0.0000 0.0000 0.0000
Cd 0.0000 2.5034 0.0000
Cd 0.0000 0.0000 2.5034
Cd 2.5034 0.0000 0.0000
```

Results
V = 126 Å³/f.u.


Stability ranking, top and bottom: P is the most stable and Q is the least stable.


--- P ---
Material: CdCuSn3
Method: DFT, PBE
State: optimized geometry

The structure in extended XYZ format:
```
10
Lattice="-0.9450 2.3603 6.3797 -4.1316 -5.4854 -0.0764 6.1442 -2.4393 -2.2315" Properties=species:S:1:pos:R:3 pbc="T T T"
Cd 3.7495 -0.4726 2.7854
Cd -2.6818 -5.0918 1.2863
Cu -1.3595 -3.4710 3.1548
Cu 2.4272 -2.0934 0.9169
Sn -3.4936 -4.0843 4.6933
Sn -0.4656 -2.2203 0.9335
Sn 1.5333 -3.3441 3.1382
Sn -1.3877 -1.0273 4.3436
Sn 4.5613 -1.4801 -0.6215
Sn 2.4554 -4.5371 -0.2719
```

Results
V = 123 Å³/f.u.


--- Q ---
Material: CdCuSn3
Method: DFT, PBE
State: optimized geometry

The structure in extended XYZ format:
```
5
Lattice="5.1446 0.0000 0.0000 0.0000 5.1446 0.0000 0.0000 0.0000 5.1446" Properties=species:S:1:pos:R:3 pbc="T T T"
Sn 0.0000 2.5723 0.0000
Sn 0.0000 0.0000 2.5723
Sn 2.5723 0.0000 0.0000
Cu 0.0000 0.0000 0.0000
Cd 2.5723 2.5723 2.5723
```

Results
V = 136 Å³/f.u.


Stability ranking, top and bottom: P is the most stable and Q is the least stable.